A plane-wave DFT calculation with PBE was carried out for a relaxed structure of Zr2Zn2Au3.

The formation energy comes out at -327 meV per atom. As for the crystal system: monoclinic. The value obtained for the uncorrected energy is -63.53 eV/cell. As for the total magnetization: 0.0 μB per cell.

It has space group C2/m (No. 12), with a = 10.845 Å, b = 3.624 Å, c = 6.637 Å, α = 90.00°, β = 95.93° and γ = 90.00°. The inequivalent atoms are Zr at (0.147, 0.000, 0.332), Zn at (0.081, 0.500, 0.636), Au at (0.000, 0.500, 0.000) and Au at (0.189, 0.000, 0.863).

***

A plane-wave DFT calculation with PBE was carried out for a relaxed structure of ZrZnAu3.

The formation energy comes out at -303 meV per atom. As for the crystal system: monoclinic. The value obtained for the uncorrected energy is -42.34 eV/cell. As for the total magnetization: 0.0 μB per cell.

It has space group P2_1/m (No. 11), with a = 5.034 Å, b = 5.844 Å, c = 6.499 Å, α = 90.00°, β = 103.95° and γ = 90.00°. The inequivalent atoms are Zr at (0.167, 0.250, 0.212), Zn at (0.072, 0.750, 0.266), Au at (0.295, 0.505, 0.617) and Au at (0.396, 0.750, 0.018).

***

A plane-wave DFT calculation with PBE was carried out for a relaxed structure of Zr2ZnAu.

The formation energy comes out at 17 meV per atom. As for the crystal system: tetragonal. The value obtained for the uncorrected energy is -86.32 eV/cell. As for the total magnetization: 0.0 μB per cell.

It has space group I-42d (No. 122), with a = 7.706 Å, b = 7.706 Å, c = 5.621 Å, α = 90.00°, β = 90.00° and γ = 90.00°. The inequivalent atoms are Zr at (0.246, 0.250, 0.125), Zn at (0.000, 0.000, 0.500) and Au at (0.000, 0.000, 0.000).

***

A plane-wave DFT calculation with PBE was carried out for a relaxed structure of ZrZnAu6.

The formation energy comes out at -288 meV per atom. As for the crystal system: monoclinic. The value obtained for the uncorrected energy is -63.58 eV/cell. As for the total magnetization: 0.0 μB per cell.

It has space group C2/m (No. 12), with a = 9.254 Å, b = 4.233 Å, c = 8.165 Å, α = 90.00°, β = 115.62° and γ = 90.00°. The inequivalent atoms are Zr at (0.000, 0.000, 0.000), Zn at (0.000, 0.000, 0.500), Au at (0.005, 0.500, 0.744), Au at (0.241, 0.000, 0.376) and Au at (0.247, 0.500, 0.127).